Record 1
# CdSn2HS | Alexandria | PBE | relaxed
data_CdSn2HS
_chemical_formula_sum 'Cd1 Sn2 H1 S1'
_symmetry_space_group_name_H-M 'P 4/m m m'
_symmetry_Int_Tables_number 123
_symmetry_space_group_name_Hall '-P 4 2'
_cell_length_a 5.4758
_cell_length_b 5.4758
_cell_length_c 5.0987
_cell_angle_alpha 90.00
_cell_angle_beta 90.00
_cell_angle_gamma 90.00
loop_
_atom_site_label
_atom_site_type_symbol
_atom_site_fract_x
_atom_site_fract_y
_atom_site_fract_z
Cd1 Cd 0.0000 0.0000 0.0000
Sn1 Sn 0.0000 0.5000 0.5000
H1 H 0.5000 0.5000 0.0000
S1 S 0.0000 0.0000 0.5000
# total DFT energy (no corrections): -2.514 eV/atom
# calculated volume: 30.58 Å³ per atom



Record 2
# Zr2CdHS | Alexandria | PBE | relaxed
data_Zr2CdHS
_chemical_formula_sum 'Zr2 Cd1 H1 S1'
_symmetry_space_group_name_H-M 'P 4/m m m'
_symmetry_Int_Tables_number 123
_symmetry_space_group_name_Hall '-P 4 2'
_cell_length_a 5.1642
_cell_length_b 5.1642
_cell_length_c 3.3378
_cell_angle_alpha 90.00
_cell_angle_beta 90.00
_cell_angle_gamma 90.00
loop_
_atom_site_label
_atom_site_type_symbol
_atom_site_fract_x
_atom_site_fract_y
_atom_site_fract_z
Zr1 Zr 0.0000 0.5000 0.0000
Cd1 Cd 0.0000 0.0000 0.5000
H1 H 0.5000 0.5000 0.5000
S1 S 0.5000 0.5000 0.0000
# total DFT energy (no corrections): -5.218 eV/atom
# calculated volume: 17.80 Å³ per atom



Record 3
# Cd2Sb3H4 | Alexandria | PBE | relaxed
data_Cd2Sb3H4
_chemical_formula_sum 'Cd4 Sb6 H8'
_symmetry_space_group_name_H-M 'P -1'
_symmetry_Int_Tables_number 2
_symmetry_space_group_name_Hall '-P 1'
_cell_length_a 5.5650
_cell_length_b 8.3862
_cell_length_c 10.1567
_cell_angle_alpha 95.92
_cell_angle_beta 100.52
_cell_angle_gamma 90.79
loop_
_atom_site_label
_atom_site_type_symbol
_atom_site_fract_x
_atom_site_fract_y
_atom_site_fract_z
Cd1 Cd 0.1421 0.3741 0.1983
Cd2 Cd 0.3507 0.3994 0.7800
Sb1 Sb 0.0499 0.0371 0.1427
Sb2 Sb 0.1761 0.3807 0.4908
Sb3 Sb 0.4385 0.0713 0.8155
H1 H 0.0421 0.7703 0.5130
H2 H 0.0795 0.4701 0.8557
H3 H 0.3817 0.9969 0.6462
H4 H 0.4279 0.4340 0.1424
# total DFT energy (no corrections): -2.884 eV/atom
# calculated volume: 25.74 Å³ per atom



Record 4
# Cd2SbH | Alexandria | PBE | relaxed
data_Cd2SbH
_chemical_formula_sum 'Cd4 Sb2 H2'
_symmetry_space_group_name_H-M 'C 1 m 1'
_symmetry_Int_Tables_number 8
_symmetry_space_group_name_Hall 'C -2y'
_cell_length_a 9.4449
_cell_length_b 5.8794
_cell_length_c 3.1815
_cell_angle_alpha 90.00
_cell_angle_beta 90.73
_cell_angle_gamma 90.00
loop_
_atom_site_label
_atom_site_type_symbol
_atom_site_fract_x
_atom_site_fract_y
_atom_site_fract_z
Cd1 Cd 0.0000 0.0000 0.0000
Cd2 Cd 0.1989 0.5000 0.0014
Sb1 Sb 0.3061 0.0000 0.0039
H1 H 0.0923 0.5000 0.4970
# total DFT energy (no corrections): -2.123 eV/atom
# offset from the most stable computed form: 88 meV per atom
# calculated volume: 22.08 Å³ per atom



Record 5
# Cd4Sb2H3 | Alexandria | PBE | relaxed
data_Cd4Sb2H3
_chemical_formula_sum 'Cd8 Sb4 H6'
_symmetry_space_group_name_H-M 'C 1 2/m 1'
_symmetry_Int_Tables_number 12
_symmetry_space_group_name_Hall '-C 2y'
_cell_length_a 7.7028
_cell_length_b 5.4000
_cell_length_c 9.2540
_cell_angle_alpha 90.00
_cell_angle_beta 112.91
_cell_angle_gamma 90.00
loop_
_atom_site_label
_atom_site_type_symbol
_atom_site_fract_x
_atom_site_fract_y
_atom_site_fract_z
Cd1 Cd 0.1425 0.0000 0.4310
Cd2 Cd 0.1767 0.0000 0.9099
Sb1 Sb 0.0083 0.5000 0.2368
H1 H 0.0000 0.0000 0.0000
H2 H 0.1527 0.5000 0.6619
# total DFT energy (no corrections): -2.238 eV/atom
# calculated volume: 19.70 Å³ per atom



Record 6
# CdSbH3 | Alexandria | PBE | relaxed
data_CdSbH3
_chemical_formula_sum 'Cd1 Sb1 H3'
_symmetry_space_group_name_H-M 'P m -3 m'
_symmetry_Int_Tables_number 221
_symmetry_space_group_name_Hall '-P 4 2 3'
_cell_length_a 4.1550
_cell_length_b 4.1550
_cell_length_c 4.1550
_cell_angle_alpha 90.00
_cell_angle_beta 90.00
_cell_angle_gamma 90.00
loop_
_atom_site_label
_atom_site_type_symbol
_atom_site_fract_x
_atom_site_fract_y
_atom_site_fract_z
Cd1 Cd 0.0000 0.0000 0.0000
Sb1 Sb 0.5000 0.5000 0.5000
H1 H 0.0000 0.5000 0.5000
# total DFT energy (no corrections): -2.496 eV/atom
# offset from the most stable computed form: 0 meV per atom
# calculated volume: 14.35 Å³ per atom



Record 7
# CdSbH | Alexandria | PBE | relaxed
data_CdSbH
_chemical_formula_sum 'Cd2 Sb2 H2'
_symmetry_space_group_name_H-M 'P -1'
_symmetry_Int_Tables_number 2
_symmetry_space_group_name_Hall '-P 1'
_cell_length_a 5.0213
_cell_length_b 5.0395
_cell_length_c 5.1982
_cell_angle_alpha 91.09
_cell_angle_beta 90.15
_cell_angle_gamma 90.11
loop_
_atom_site_label
_atom_site_type_symbol
_atom_site_fract_x
_atom_site_fract_y
_atom_site_fract_z
Cd1 Cd 0.2495 0.0979 0.3729
Sb1 Sb 0.2511 0.7228 0.8499
H1 H 0.2483 0.4292 0.6551
# total DFT energy (no corrections): -2.635 eV/atom
# offset from the most stable computed form: 139 meV per atom
# calculated volume: 21.92 Å³ per atom



Record 8
# Cd3Sb2H | Alexandria | PBE | relaxed
data_Cd3Sb2H
_chemical_formula_sum 'Cd12 Sb8 H4'
_symmetry_space_group_name_H-M 'C 1 2/c 1'
_symmetry_Int_Tables_number 15
_symmetry_space_group_name_Hall '-C 2yc'
_cell_length_a 13.2135
_cell_length_b 6.7342
_cell_length_c 6.7182
_cell_angle_alpha 90.00
_cell_angle_beta 94.11
_cell_angle_gamma 90.00
loop_
_atom_site_label
_atom_site_type_symbol
_atom_site_fract_x
_atom_site_fract_y
_atom_site_fract_z
Cd1 Cd 0.0000 0.2224 0.2500
Cd2 Cd 0.1479 0.3845 0.7499
Sb1 Sb 0.1562 0.0026 0.0686
H1 H 0.0000 0.4829 0.7500
# total DFT energy (no corrections): -2.259 eV/atom
# calculated volume: 24.84 Å³ per atom



Record 9
# CdSbH | Alexandria | PBE | relaxed
data_CdSbH
_chemical_formula_sum 'Cd2 Sb2 H2'
_symmetry_space_group_name_H-M 'I 4 m m'
_symmetry_Int_Tables_number 107
_symmetry_space_group_name_Hall 'I 4 -2'
_cell_length_a 4.2626
_cell_length_b 4.2626
_cell_length_c 7.8481
_cell_angle_alpha 90.00
_cell_angle_beta 90.00
_cell_angle_gamma 90.00
loop_
_atom_site_label
_atom_site_type_symbol
_atom_site_fract_x
_atom_site_fract_y
_atom_site_fract_z
Cd1 Cd 0.0000 0.0000 0.0000
Sb1 Sb 0.0000 0.0000 0.4999
H1 H 0.0000 0.0000 0.7248
# total DFT energy (no corrections): -2.601 eV/atom
# offset from the most stable computed form: 173 meV per atom
# calculated volume: 23.77 Å³ per atom



Record 10
# CdSbH | Alexandria | PBE | relaxed
data_CdSbH
_chemical_formula_sum 'Cd4 Sb4 H4'
_symmetry_space_group_name_H-M 'P 1 21/c 1'
_symmetry_Int_Tables_number 14
_symmetry_space_group_name_Hall '-P 2ybc'
_cell_length_a 6.5548
_cell_length_b 7.2803
_cell_length_c 7.1076
_cell_angle_alpha 90.00
_cell_angle_beta 120.85
_cell_angle_gamma 90.00
loop_
_atom_site_label
_atom_site_type_symbol
_atom_site_fract_x
_atom_site_fract_y
_atom_site_fract_z
Cd1 Cd 0.0030 0.2056 0.0013
Sb1 Sb 0.2517 0.5009 0.9256
H1 H 0.4912 0.5512 0.4914
# total DFT energy (no corrections): -2.774 eV/atom
# offset from the most stable computed form: 0 meV per atom
# calculated volume: 24.27 Å³ per atom



Record 11
# CdSbH | Alexandria | PBE | relaxed
data_CdSbH
_chemical_formula_sum 'Cd4 Sb4 H4'
_symmetry_space_group_name_H-M 'C m c m'
_symmetry_Int_Tables_number 63
_symmetry_space_group_name_Hall '-C 2c 2'
_cell_length_a 4.0281
_cell_length_b 8.4252
_cell_length_c 7.8641
_cell_angle_alpha 90.00
_cell_angle_beta 90.00
_cell_angle_gamma 90.00
loop_
_atom_site_label
_atom_site_type_symbol
_atom_site_fract_x
_atom_site_fract_y
_atom_site_fract_z
Cd1 Cd 0.0000 0.0000 0.0000
Sb1 Sb 0.0000 0.2363 0.2500
H1 H 0.0000 0.2770 0.7500
# total DFT energy (no corrections): -2.555 eV/atom
# offset from the most stable computed form: 219 meV per atom
# calculated volume: 22.24 Å³ per atom



Record 12
# CdSbH | Alexandria | PBE | relaxed
data_CdSbH
_chemical_formula_sum 'Cd4 Sb4 H4'
_symmetry_space_group_name_H-M 'P n m a'
_symmetry_Int_Tables_number 62
_symmetry_space_group_name_Hall '-P 2ac 2n'
_cell_length_a 7.5710
_cell_length_b 7.7110
_cell_length_c 4.7417
_cell_angle_alpha 90.00
_cell_angle_beta 90.00
_cell_angle_gamma 90.00
loop_
_atom_site_label
_atom_site_type_symbol
_atom_site_fract_x
_atom_site_fract_y
_atom_site_fract_z
Cd1 Cd 0.0000 0.0000 0.0000
Sb1 Sb 0.1070 0.2500 0.3973
H1 H 0.1092 0.7500 0.4639
# total DFT energy (no corrections): -2.624 eV/atom
# offset from the most stable computed form: 151 meV per atom
# calculated volume: 23.07 Å³ per atom



Record 13
# CdSbH | Alexandria | PBE | relaxed
data_CdSbH
_chemical_formula_sum 'Cd4 Sb4 H4'
_symmetry_space_group_name_H-M 'P n m a'
_symmetry_Int_Tables_number 62
_symmetry_space_group_name_Hall '-P 2ac 2n'
_cell_length_a 7.5953
_cell_length_b 4.9653
_cell_length_c 8.0117
_cell_angle_alpha 90.00
_cell_angle_beta 90.00
_cell_angle_gamma 90.00
loop_
_atom_site_label
_atom_site_type_symbol
_atom_site_fract_x
_atom_site_fract_y
_atom_site_fract_z
Cd1 Cd 0.1457 0.2500 0.0005
Sb1 Sb 0.2376 0.7500 0.1560
H1 H 0.0738 0.2500 0.5328
# total DFT energy (no corrections): -2.685 eV/atom
# offset from the most stable computed form: 89 meV per atom
# calculated volume: 25.18 Å³ per atom